[1]
19
Lattice="6.913 3.991 3.180 -6.913 3.991 3.180 0.000 -7.982 3.180" Properties=species:S:1:pos:R:3 comment="BaCd12Sn6 GGA-PBE optimized geometry" delta_e_f_ev_per_fu=-0.3 pbc="T T T"
Ba 0.000 0.000 0.000
Cd -2.756 -4.773 4.770
Cd -5.512 0.000 4.770
Cd -1.509 -0.871 3.226
Cd 1.509 -0.871 3.226
Cd 0.000 1.743 3.226
Cd 2.756 -4.773 4.770
Cd -2.756 4.773 4.770
Cd 0.000 -1.743 6.314
Cd -1.509 0.871 6.314
Cd 1.509 0.871 6.314
Cd 5.512 0.000 4.770
Cd 2.756 4.773 4.770
Sn -3.395 -1.960 5.183
Sn 0.000 -3.920 4.357
Sn -3.395 1.960 4.357
Sn 3.395 -1.960 5.183
Sn 0.000 3.920 5.183
Sn 3.395 1.960 4.357

=====

[2]
10
Lattice="5.259 0.000 0.000 0.000 5.259 0.000 0.000 0.000 11.388" Properties=species:S:1:pos:R:3 comment="Ba2Cd3Sn5 GGA-PBE optimized geometry" delta_e_f_ev_per_fu=-3.4 pbc="T T T"
Ba 0.000 2.630 2.782
Ba 2.630 0.000 8.606
Cd 0.000 0.000 0.000
Cd 0.000 2.630 10.009
Cd 2.630 0.000 1.379
Sn 0.000 0.000 5.694
Sn 0.000 2.630 7.145
Sn 2.630 0.000 4.243
Sn 2.630 2.630 0.000
Sn 2.630 2.630 5.694

=====

[3]
6
Lattice="-2.491 4.362 4.804 2.491 -4.362 4.804 2.491 4.362 -4.804" Properties=species:S:1:pos:R:3 comment="BaCdSn GGA-PBE optimized geometry" delta_e_f_ev_per_fu=-1.5 pbc="T T T"
Ba 0.000 0.000 2.397
Ba 0.000 0.000 7.212
Cd 2.491 1.457 0.000
Cd 0.000 2.905 4.804
Sn 0.000 2.898 0.000
Sn 0.000 5.826 0.000

=====

[4]
13
Lattice="5.574 -6.299 0.000 5.574 6.299 0.000 -1.044 0.000 5.158" Properties=species:S:1:pos:R:3 comment="Ba2Cd10Sn GGA-PBE optimized geometry" delta_e_f_ev_per_fu=-2.6 pbc="T T T"
Ba 2.300 0.000 1.724
Ba 7.805 0.000 3.434
Cd 4.624 4.733 1.157
Cd 2.787 2.533 4.349
Cd 5.481 4.733 4.000
Cd 5.052 2.094 2.579
Cd 7.318 2.533 0.809
Cd 2.787 -2.533 4.349
Cd 5.052 -2.094 2.579
Cd 4.624 -4.733 1.157
Cd 7.318 -2.533 0.809
Cd 5.481 -4.733 4.000
Sn 5.574 0.000 0.000

=====

[5]
12
Lattice="6.017 -5.481 0.000 6.017 5.481 0.000 0.000 0.000 5.826" Properties=species:S:1:pos:R:3 comment="BaCd2Sn3 GGA-PBE optimized geometry" delta_e_f_ev_per_fu=-1.2 pbc="T T T"
Ba 6.017 3.214 4.370
Ba 6.017 -3.214 1.457
Cd 2.777 0.000 0.000
Cd 2.777 0.000 2.913
Cd 9.256 0.000 0.000
Cd 9.256 0.000 2.913
Sn 3.689 2.690 1.457
Sn 6.017 0.585 1.457
Sn 8.344 2.690 1.457
Sn 3.689 -2.690 4.370
Sn 6.017 -0.585 4.370
Sn 8.344 -2.690 4.370

=====

[6]
19
Lattice="5.434 3.137 5.641 -5.434 3.137 5.641 0.000 -6.274 5.641" Properties=species:S:1:pos:R:3 comment="Ba2Cd2Sn15 GGA-PBE optimized geometry" delta_e_f_ev_per_fu=-1.9 pbc="T T T"
Ba 0.000 0.000 2.855
Ba 0.000 0.000 14.069
Cd 0.000 0.000 6.863
Cd 0.000 0.000 10.061
Sn -2.717 -1.569 5.641
Sn 0.000 -3.188 5.263
Sn -2.761 1.594 5.263
Sn -1.588 -2.751 8.462
Sn -3.177 0.000 8.462
Sn -2.761 -1.594 11.661
Sn -2.717 1.569 11.283
Sn 1.588 -2.751 8.462
Sn 0.000 3.137 5.641
Sn -1.588 2.751 8.462
Sn 2.761 1.594 5.263
Sn 3.177 0.000 8.462
Sn 1.588 2.751 8.462
Sn 2.761 -1.594 11.661
Sn 0.000 3.188 11.661

=====

[7]
13
Lattice="3.089 -7.340 0.000 3.089 7.340 0.000 -3.007 0.000 7.186" Properties=species:S:1:pos:R:3 comment="BaCd11Sn GGA-PBE optimized geometry" delta_e_f_ev_per_fu=-1.5 pbc="T T T"
Ba 0.000 0.000 0.000
Cd 1.544 3.670 0.000
Cd 0.078 2.649 2.543
Cd 0.130 1.613 5.649
Cd 0.078 -2.649 2.543
Cd 3.040 1.613 1.537
Cd 1.544 -3.670 0.000
Cd 1.585 0.000 3.593
Cd 0.130 -1.613 5.649
Cd 3.092 2.649 4.643
Cd 3.040 -1.613 1.537
Cd 3.092 -2.649 4.643
Sn -1.504 0.000 3.593

=====

[8]
11
Lattice="8.804 0.000 0.000 -4.402 7.625 0.000 0.000 0.000 4.836" Properties=species:S:1:pos:R:3 comment="Ba2Cd6Sn3 GGA-PBE optimized geometry" delta_e_f_ev_per_fu=-3.7 pbc="T T T"
Ba 0.000 5.083 0.000
Ba 4.402 2.542 0.000
Cd -0.832 1.441 0.000
Cd -3.125 5.412 2.418
Cd 1.664 0.000 0.000
Cd 1.277 2.213 2.418
Cd 6.250 0.000 2.418
Cd 3.570 6.183 0.000
Sn -1.640 2.840 2.418
Sn 3.280 0.000 2.418
Sn 2.762 4.785 2.418

=====

[9]
4
Lattice="4.979 0.000 0.000 0.000 4.979 0.000 0.000 0.000 4.959" Properties=species:S:1:pos:R:3 comment="BaCdSn2 GGA-PBE optimized geometry" delta_e_f_ev_per_fu=-1.2 pbc="T T T"
Ba 0.000 0.000 0.000
Cd 2.490 2.490 0.000
Sn 0.000 2.490 2.480
Sn 2.490 0.000 2.480

=====

[10]
9
Lattice="7.114 0.000 0.000 -3.557 6.161 0.000 0.000 0.000 6.406" Properties=species:S:1:pos:R:3 comment="Ba2CdSn6 GGA-PBE optimized geometry" delta_e_f_ev_per_fu=-3.6 pbc="T T T"
Ba 0.000 4.107 0.988
Ba 3.557 2.054 5.417
Cd 0.000 0.000 0.000
Sn 0.000 2.226 4.239
Sn -1.629 5.048 4.239
Sn 1.928 1.113 2.167
Sn 1.629 5.048 4.239
Sn 5.186 1.113 2.167
Sn 3.557 3.935 2.167

=====

[11]
12
Lattice="5.592 -8.000 0.000 5.592 8.000 0.000 -4.464 0.000 6.562" Properties=species:S:1:pos:R:3 comment="Ba4CdSn GGA-PBE optimized geometry" delta_e_f_ev_per_fu=-2.0 pbc="T T T"
Ba 0.111 5.032 5.918
Ba 0.159 0.883 4.840
Ba 4.377 5.032 3.925
Ba 2.391 -0.883 1.559
Ba 4.328 0.883 5.003
Ba 2.343 -5.032 2.637
Ba 6.560 -0.883 1.722
Ba 6.609 -5.032 0.644
Cd 2.244 7.977 4.921
Cd 4.476 -7.977 1.640
Sn 4.476 2.163 1.640
Sn 2.244 -2.163 4.921

=====

[12]
10
Lattice="8.104 0.000 0.000 0.000 8.104 0.000 0.000 0.000 5.368" Properties=species:S:1:pos:R:3 comment="Ba2Cd2Sn GGA-PBE optimized geometry" delta_e_f_ev_per_fu=-1.8 pbc="T T T"
Ba 1.511 2.541 0.000
Ba 2.541 6.593 0.000
Ba 5.563 1.511 0.000
Ba 6.593 5.563 0.000
Cd 0.999 5.051 2.684
Cd 3.052 0.999 2.684
Cd 5.051 7.104 2.684
Cd 7.104 3.052 2.684
Sn 0.000 0.000 2.684
Sn 4.052 4.052 2.684